1.
Material: YCoIO2
Method: DFT, PBE with a Hubbard U
State: relaxed

## Properties
- Fermi-level density of states: 0.206 states/eV per atom
- Density: 5.95 g/cm³
- Relative energy among the computed polymorphs: 0.89 eV per formula unit
- Raw total energy: -0.194 Ha/atom

Lattice parameters (Å, degrees): 4.189 4.189 4.877 90.00 90.00 90.00
Fractional coordinates of all 5 atoms:
Y  0.000  0.000  0.000
Co  0.500  0.500  0.500
I  0.500  0.500  0.000
O  0.000  0.500  0.500
O  0.500  0.000  0.500

2.
Material: YCoIO2
Method: DFT, PBE with a Hubbard U
State: relaxed

## Properties
- Fermi-level density of states: 1.397 states/eV per atom
- Density: 4.25 g/cm³
- Relative energy among the computed polymorphs: 0.00 eV per formula unit
- Raw total energy: -0.201 Ha/atom

Lattice parameters (Å, degrees): 4.291 4.291 6.504 90.00 90.00 90.00
Fractional coordinates of all 5 atoms:
Y  0.000  0.000  0.000
Co  0.500  0.500  0.500
I  0.000  0.000  0.500
O  0.000  0.500  0.000
O  0.500  0.000  0.000

- The lowest relative energy among the computed polymorphs belongs to which entry?
  number 2